First-principles (PBE-GGA) data for a geometry-optimized Nb2O3 structure, as listed in the Alexandria database.

a = 5.186 Å, b = 3.078 Å, c = 8.144 Å
α = 90.00°, β = 106.32°, γ = 90.00°
Element x y z (fractional)
Nb 0.141 0.250 0.134
Nb 0.221 0.250 0.508
Nb 0.779 0.750 0.492
Nb 0.859 0.750 0.866
O 0.043 0.750 0.316
O 0.271 0.750 0.015
O 0.490 0.750 0.646
O 0.510 0.250 0.354
O 0.729 0.250 0.985
O 0.957 0.250 0.684

Calculated values
ΔE_f (raw)	-2.069	eV/atom
mass density	6.22	g/cm3